! Tm4ZnCo (GGA-PBE, relaxed); values from VASP
&SYSTEM
  ibrav = 0, nat = 24, ntyp = 3
/
ATOMIC_SPECIES
Tm 168.93 Tm.upf
Zn 65.41 Zn.upf
Co 58.93 Co.upf
ATOMIC_POSITIONS crystal
Tm 0.059 0.059 0.441
Tm 0.059 0.441 0.059
Tm 0.059 0.441 0.441
Tm 0.188 0.188 0.812
Tm 0.188 0.812 0.188
Tm 0.188 0.812 0.812
Tm 0.199 0.600 0.600
Tm 0.441 0.059 0.059
Tm 0.441 0.059 0.441
Tm 0.441 0.441 0.059
Tm 0.600 0.199 0.600
Tm 0.600 0.600 0.199
Tm 0.600 0.600 0.600
Tm 0.812 0.188 0.188
Tm 0.812 0.188 0.812
Tm 0.812 0.812 0.188
Zn 0.518 0.827 0.827
Zn 0.827 0.518 0.827
Zn 0.827 0.827 0.518
Zn 0.827 0.827 0.827
Co 0.392 0.392 0.392
Co 0.392 0.392 0.824
Co 0.392 0.824 0.392
Co 0.824 0.392 0.392
CELL_PARAMETERS angstrom
0.000 6.513 6.513
6.513 0.000 6.513
6.513 6.513 0.000
! Raw total energy in Ry/atom: -0.34072
! Symmetry: No. 216
! Calculated density in kg/m³: 9618
! ΔE_f in eV per formula unit: -1.55